Below is a relaxed structure of CaHf2C, with properties calculated at the PBE level. Values from VASP.

Computed properties:
The formation energy is 0.33 eV/atom. As for the space-group type: No. 227.

```
&SYSTEM
  ibrav = 0, nat = 8, ntyp = 3
/
ATOMIC_SPECIES
Ca 40.08 Ca.upf
Hf 178.49 Hf.upf
C 12.01 C.upf
CELL_PARAMETERS angstrom
0.000 4.802 4.802
4.802 0.000 4.802
4.802 4.802 0.000
ATOMIC_POSITIONS angstrom
Ca 1.201 1.201 1.201
Ca 8.404 8.404 8.404
Hf 4.802 2.401 2.401
Hf 2.401 4.802 2.401
Hf 2.401 2.401 4.802
Hf 4.802 4.802 4.802
C 3.602 3.602 3.602
C 6.003 6.003 6.003
```


Below is a relaxed structure of Mg14CoW, with properties calculated at the PBE level. Values from VASP.

Computed properties:
The formation energy is 0.18 eV/atom. As for the offset from the most stable computed form: 0.0 meV per atom. As for the space-group type: No. 38.

```
&SYSTEM
  ibrav = 0, nat = 16, ntyp = 3
/
ATOMIC_SPECIES
Mg 24.30 Mg.upf
Co 58.93 Co.upf
W 183.84 W.upf
CELL_PARAMETERS angstrom
9.912 0.000 0.000
0.000 3.067 5.386
0.000 -3.067 5.386
ATOMIC_POSITIONS angstrom
Mg 0.000 0.000 0.000
Mg 0.000 -1.528 2.709
Mg 0.000 0.000 5.380
Mg 0.000 1.528 2.709
Mg 2.537 0.000 7.119
Mg 2.620 0.000 1.715
Mg 2.693 -1.534 4.542
Mg 2.693 1.534 4.542
Mg 4.956 -1.516 8.083
Mg 4.956 1.516 8.083
Mg 7.218 -1.534 4.542
Mg 7.218 1.534 4.542
Mg 7.291 0.000 1.715
Mg 7.375 0.000 7.119
Co 4.956 0.000 0.062
W 4.956 0.000 5.470
```